<P>
Compound: ZrMnRe2
Source: Alexandria
Functional: PBEsol
Structure: relaxed

a = 2.9023 Å, b = 4.5474 Å, c = 5.0790 Å
α = 109.18°, β = 106.60°, γ = 90.00°
Each line ends with the local moment (μB).
Element x y z (fractional)
Mn 0.5000 0.0000 0.0000  0.47
Re 0.2225 0.2137 0.4449  -0.01
Re 0.7775 0.7863 0.5551  -0.01
Zr 0.0000 0.5000 0.0000  -0.04

Calculated values
- symmetry = No. 12
- density of states at the Fermi level (states/eV/f.u.) = 4.30
- volume (Å³ per cell) = 60.3


<Q>
Compound: ZrMnRe2
Source: Alexandria
Functional: PBEsol
Structure: relaxed

a = 4.3976 Å, b = 4.3976 Å, c = 4.3976 Å
α = 60.00°, β = 60.00°, γ = 60.00°
Each line ends with the local moment (μB).
Element x y z (fractional)
Mn 0.0000 0.0000 0.0000  2.01
Re 0.7500 0.7500 0.7500  -0.27
Re 0.2500 0.2500 0.2500  -0.27
Zr 0.5000 0.5000 0.5000  0.02

Calculated values
- symmetry = No. 225
- density of states at the Fermi level (states/eV/f.u.) = 5.02
- volume (Å³ per cell) = 60.1


<P> (0.083 eV/atom below the next structure)


<P>
Compound: MnRh2
Source: Alexandria
Functional: PBEsol
Structure: relaxed

a = 3.7631 Å, b = 5.2522 Å, c = 7.8812 Å
α = 90.00°, β = 90.00°, γ = 90.00°
Each line ends with the local moment (μB).
Element x y z (fractional)
Mn 0.7500 0.8580 0.0929  2.75
Mn 0.2500 0.6420 0.5929  2.75
Mn 0.7500 0.3580 0.4071  2.75
Mn 0.2500 0.1420 0.9071  2.75
Rh 0.7500 0.8961 0.7587  -0.13
Rh 0.7500 0.8599 0.4225  -0.15
Rh 0.2500 0.6401 0.9225  -0.15
Rh 0.2500 0.6039 0.2587  -0.13
Rh 0.7500 0.3961 0.7413  -0.13
Rh 0.7500 0.3599 0.0775  -0.15
Rh 0.2500 0.1401 0.5775  -0.15
Rh 0.2500 0.1039 0.2413  -0.13

Calculated values
- symmetry = No. 62
- density of states at the Fermi level (states/eV/f.u.) = 3.53
- volume (Å³ per cell) = 155.8


<Q>
Compound: MnRh2
Source: Alexandria
Functional: PBEsol
Structure: relaxed

a = 2.6653 Å, b = 4.2566 Å, c = 4.2566 Å
α = 120.00°, β = 90.00°, γ = 90.00°
Each line ends with the local moment (μB).
Element x y z (fractional)
Mn 0.0000 0.0000 0.0000  3.62
Rh 0.5000 0.6667 0.3333  0.12
Rh 0.5000 0.3333 0.6667  0.12

Calculated values
- symmetry = No. 191
- density of states at the Fermi level (states/eV/f.u.) = 3.76
- volume (Å³ per cell) = 41.8


<P> (0.274 eV/atom below the next structure)


<P>
Compound: MnRh2
Source: Alexandria
Functional: PBEsol
Structure: relaxed

a = 3.7047 Å, b = 3.7047 Å, c = 11.6523 Å
α = 99.15°, β = 99.15°, γ = 90.00°
Each line ends with the local moment (μB).
Element x y z (fractional)
Mn 0.9194 0.9194 0.8388  2.75
Mn 0.0806 0.0806 0.1612  2.75
Mn 0.1694 0.6694 0.3388  2.75
Mn 0.3306 0.8306 0.6612  2.75
Rh 0.7500 0.7500 0.5000  -0.21
Rh 0.2500 0.2500 0.5000  -0.21
Rh 0.0000 0.5000 0.0000  -0.21
Rh 0.5000 0.0000 0.0000  -0.21
Rh 0.5839 0.5839 0.1677  -0.12
Rh 0.4161 0.4161 0.8323  -0.12
Rh 0.8339 0.3339 0.6677  -0.12
Rh 0.6661 0.1661 0.3323  -0.12

Calculated values
- symmetry = No. 141
- density of states at the Fermi level (states/eV/f.u.) = 3.05
- volume (Å³ per cell) = 155.8


<Q>
Compound: MnRh2
Source: Alexandria
Functional: PBEsol
Structure: relaxed

a = 2.6310 Å, b = 4.9429 Å, c = 6.1245 Å
α = 103.37°, β = 90.00°, γ = 105.43°
Element x y z (fractional)
Mn 0.0283 0.0566 0.8117
Mn 0.9717 0.9434 0.1883
Rh 0.6350 0.2700 0.5310
Rh 0.3164 0.6328 0.8689
Rh 0.6836 0.3672 0.1311
Rh 0.3650 0.7300 0.4690

Calculated values
- symmetry = No. 12
- density of states at the Fermi level (states/eV/f.u.) = 3.42
- volume (Å³ per cell) = 74.5


<P> (0.019 eV/atom below the next structure)


<P>
Compound: ScMn2Rh
Source: Alexandria
Functional: PBEsol
Structure: relaxed

a = 3.0036 Å, b = 3.0036 Å, c = 6.5742 Å
α = 90.00°, β = 90.00°, γ = 90.00°
Each line ends with the local moment (μB).
Element x y z (fractional)
Mn 0.0000 0.0000 0.7802  3.00
Mn 0.0000 0.0000 0.2198  3.00
Rh 0.5000 0.5000 0.0000  0.52
Sc 0.5000 0.5000 0.5000  -0.47

Calculated values
- symmetry = No. 123
- density of states at the Fermi level (states/eV/f.u.) = 5.20
- volume (Å³ per cell) = 59.3


<Q>
Compound: ScMn2Rh
Source: Alexandria
Functional: PBEsol
Structure: relaxed

a = 4.3300 Å, b = 4.3300 Å, c = 4.3300 Å
α = 60.00°, β = 60.00°, γ = 60.00°
Each line ends with the local moment (μB).
Element x y z (fractional)
Mn 0.7500 0.7500 0.7500  2.97
Mn 0.2500 0.2500 0.2500  2.97
Rh 0.0000 0.0000 0.0000  0.51
Sc 0.5000 0.5000 0.5000  -0.15

Calculated values
- symmetry = No. 225
- density of states at the Fermi level (states/eV/f.u.) = 5.22
- volume (Å³ per cell) = 57.4


<Q> (0.064 eV/atom below the next structure)


<P>
Compound: Sr2MnRh
Source: Alexandria
Functional: PBEsol
Structure: relaxed

a = 4.0228 Å, b = 4.9250 Å, c = 4.9250 Å
α = 90.00°, β = 90.00°, γ = 90.00°
Each line ends with the local moment (μB).
Element x y z (fractional)
Mn 0.5000 0.0000 0.0000  3.88
Rh 0.5000 0.5000 0.5000  0.16
Sr 0.0000 0.0000 0.5000  -0.02
Sr 0.0000 0.5000 0.0000  -0.02

Calculated values
- symmetry = No. 123
- density of states at the Fermi level (states/eV/f.u.) = 3.50
- volume (Å³ per cell) = 97.6


<Q>
Compound: Sr2MnRh
Source: Alexandria
Functional: PBEsol
Structure: relaxed

a = 5.1877 Å, b = 5.1877 Å, c = 5.1877 Å
α = 60.00°, β = 60.00°, γ = 60.00°
Each line ends with the local moment (μB).
Element x y z (fractional)
Mn 0.0000 0.0000 0.0000  3.92
Rh 0.5000 0.5000 0.5000  0.30
Sr 0.7500 0.7500 0.7500  -0.02
Sr 0.2500 0.2500 0.2500  -0.02

Calculated values
- symmetry = No. 225
- density of states at the Fermi level (states/eV/f.u.) = 3.78
- volume (Å³ per cell) = 98.7


<R>
Compound: Sr2MnRh
Source: Alexandria
Functional: PBEsol
Structure: relaxed

a = 3.7330 Å, b = 5.0544 Å, c = 6.3182 Å
α = 113.58°, β = 107.18°, γ = 90.00°
Each line ends with the local moment (μB).
Element x y z (fractional)
Mn 0.5648 0.5648 0.1296  3.64
Rh 0.2053 0.7053 0.4107  0.34
Sr 0.9703 0.9703 0.9407  -0.01
Sr 0.7595 0.2595 0.5191  -0.02

Calculated values
- symmetry = No. 44
- density of states at the Fermi level (states/eV/f.u.) = 3.41
- volume (Å³ per cell) = 103.4


<R> (0.216 eV/atom below the next structure)


<P>
Compound: SrMnRh
Source: Alexandria
Functional: PBEsol
Structure: relaxed

a = 3.2490 Å, b = 3.5102 Å, c = 5.9439 Å
α = 107.17°, β = 105.86°, γ = 90.00°
Each line ends with the local moment (μB).
Element x y z (fractional)
Mn 0.0488 0.0488 0.0976  3.53
Rh 0.6221 0.6221 0.2443  0.26
Sr 0.3291 0.3291 0.6582  -0.04

Calculated values
- symmetry = No. 44
- density of states at the Fermi level (states/eV/f.u.) = 2.20
- volume (Å³ per cell) = 62.1


<Q>
Compound: SrMnRh
Source: Alexandria
Functional: PBEsol
Structure: relaxed

a = 4.6024 Å, b = 4.6024 Å, c = 4.6024 Å
α = 60.00°, β = 60.00°, γ = 60.00°
Each line ends with the local moment (μB).
Element x y z (fractional)
Mn 0.5000 0.5000 0.5000  3.97
Rh 0.2500 0.2500 0.2500  0.23
Sr 0.0000 0.0000 0.0000  -0.03

Calculated values
- symmetry = No. 216
- density of states at the Fermi level (states/eV/f.u.) = 2.38
- volume (Å³ per cell) = 68.9


<P> (0.256 eV/atom below the next structure)